Entry 1:
Cs3DyNp3Se8 (GGA-PBE, optimized geometry); E_tot = -6.290 eV per atom; total moment = 11.0 μB/cell
1.0
-1.334 8.201 -1.737
-5.897 -5.774 -1.990
0.793 2.149 9.535
Se Cs Np Dy
8 3 3 1
direct
0.227 0.455 0.682 Se
0.727 0.954 0.682 Se
0.728 0.455 0.683 Se
0.772 0.046 0.318 Se
0.272 0.545 0.317 Se
0.773 0.545 0.318 Se
0.228 0.954 0.682 Se
0.273 0.046 0.318 Se
0.500 0.500 0.000 Cs
0.000 0.500 0.000 Cs
0.000 0.000 0.000 Cs
0.500 0.500 0.500 Np
0.500 0.000 0.500 Np
0.000 0.500 0.500 Np
0.000 0.000 0.500 Dy

---

Entry 2:
Th2Ni3P4Rh (GGA-PBE, optimized geometry); E_tot = -7.146 eV per atom; total moment = 0.0 μB/cell; energy of formation from the pure elements = -10.3 eV per formula unit
1.0
-0.718 -2.875 -2.905
0.971 -2.985 2.715
-8.730 -0.463 2.615
P Ni Th Rh
4 3 2 1
direct
0.500 0.500 0.000 P
0.000 0.500 0.365 P
0.000 0.000 0.000 P
0.500 0.000 0.635 P
0.000 0.500 0.111 Ni
0.000 0.000 0.500 Ni
0.500 0.000 0.889 Ni
0.000 0.500 0.755 Th
0.500 0.000 0.245 Th
0.500 0.500 0.500 Rh

---

Entry 3:
CaRePbW2 (GGA-PBE, optimized geometry); E_tot = -7.419 eV per atom; total moment = 0.0 μB/cell; energy of formation from the pure elements = 7.0 eV per formula unit
1.0
-1.534 0.644 -4.503
2.752 -4.481 -1.578
-3.860 -2.698 0.930
Ca Re W Pb
1 1 2 1
direct
0.000 0.500 0.000 Ca
0.000 0.000 0.000 Re
0.500 0.000 0.000 W
0.000 0.000 0.500 W
0.500 0.500 0.500 Pb